1.
# ZnInFe2

Crystalline ZnInFe2 at its relaxed geometry (PBE, the Alexandria database).

The structure in POSCAR format:
```
ZnInFe2
1.0
1.4156 0.8173 8.6804
-1.4156 0.8173 8.6804
0.0000 -1.6346 8.6804
Zn In Fe
1 1 2
direct
0.0000 0.0000 0.0000 Zn
0.5000 0.5000 0.5000 In
0.2542 0.2542 0.2542 Fe
0.7458 0.7458 0.7458 Fe
```

Values from the calculation:
ρ: 8.04 Mg/m³
Calculated volume: 60 Å³/f.u.
Raw total energy: -4.901 eV per atom
DOS at the Fermi energy: 0.7868 states/eV/atom
Formation energy: 0.334 eV/atom
Space group: No. 166

---

2.
# LiSi2AsIr

Crystalline LiSi2AsIr at its relaxed geometry (PBE, the Alexandria database).

The structure in POSCAR format:
```
LiSi2AsIr
1.0
4.5560 0.0000 0.0000
0.0000 4.5560 0.0000
0.0000 0.0000 4.8036
Li Si As Ir
1 2 1 1
direct
0.0000 0.0000 0.0000 Li
0.0000 0.5000 0.5000 Si
0.5000 0.0000 0.5000 Si
0.5000 0.5000 0.0000 As
0.0000 0.0000 0.5000 Ir
```

Values from the calculation:
ρ: 5.50 Mg/m³
Calculated volume: 100 Å³/f.u.
Uncorrected formation energy: 91 kJ/mol of formula units
Raw total energy: -5.066 eV per atom
DOS at the Fermi energy: 0.8118 states/eV/atom
Space group: No. 123

---

3.
# Ce5PuRh5

Crystalline Ce5PuRh5 at its relaxed geometry (PBE, the Alexandria database).

The structure in POSCAR format:
```
Ce5PuRh5
1.0
6.3055 -2.8167 0.0000
6.3055 2.8167 0.0000
-2.5768 0.0000 7.6215
Ce Pu Rh
5 1 5
direct
0.0000 0.0000 0.0000 Ce
0.3311 0.3311 0.1690 Ce
0.3312 0.3312 0.6619 Ce
0.6688 0.6688 0.3381 Ce
0.6689 0.6689 0.8310 Ce
0.0000 0.0000 0.5000 Pu
0.1597 0.1597 0.3233 Rh
0.1666 0.1666 0.8385 Rh
0.5000 0.5000 0.5000 Rh
0.8334 0.8334 0.1615 Rh
0.8403 0.8403 0.6767 Rh
```

Values from the calculation:
ρ: 8.95 Mg/m³
Calculated volume: 271 Å³/f.u.
Raw total energy: -7.899 eV per atom
DOS at the Fermi energy: 2.6324 states/eV/atom
Formation energy: -0.557 eV/atom
Space group: No. 12

---

4.
# SrCo2Mo

Crystalline SrCo2Mo at its relaxed geometry (PBE, the Alexandria database).

The structure in POSCAR format:
```
SrCo2Mo
1.0
1.4542 0.8396 9.2377
-1.4542 0.8396 9.2377
0.0000 -1.6792 9.2377
Sr Co Mo
1 2 1
direct
0.0000 0.0000 0.0000 Sr
0.2395 0.2395 0.2395 Co
0.5103 0.5103 0.5103 Co
0.7716 0.7716 0.7716 Mo
```

Values from the calculation:
ρ: 7.40 Mg/m³
Calculated volume: 68 Å³/f.u.
Raw total energy: -5.724 eV per atom
DOS at the Fermi energy: 1.2957 states/eV/atom
Formation energy: 0.957 eV/atom
Space group: No. 160

---

Question: Which of these has the highest raw total energy?
Answer: ZnInFe2

---

Question: Number 2 is which compound?
Answer: LiSi2AsIr

---

Question: Which value of DOS at the Fermi energy does entry 3 give?
Answer: 2.6324 states/eV/atom

---

Repeat the fourth record exactly.
# SrCo2Mo

Crystalline SrCo2Mo at its relaxed geometry (PBE, the Alexandria database).

The structure in POSCAR format:
```
SrCo2Mo
1.0
1.4542 0.8396 9.2377
-1.4542 0.8396 9.2377
0.0000 -1.6792 9.2377
Sr Co Mo
1 2 1
direct
0.0000 0.0000 0.0000 Sr
0.2395 0.2395 0.2395 Co
0.5103 0.5103 0.5103 Co
0.7716 0.7716 0.7716 Mo
```

Values from the calculation:
ρ: 7.40 Mg/m³
Calculated volume: 68 Å³/f.u.
Raw total energy: -5.724 eV per atom
DOS at the Fermi energy: 1.2957 states/eV/atom
Formation energy: 0.957 eV/atom
Space group: No. 160